# GGA+U TbNpVO6, optimized geometry
data_TbNpVO6
_symmetry_space_group_name_H-M 'P 1'
_symmetry_Int_Tables_number 1
_symmetry_space_group_name_Hall 'P 1'
_cell_length_a 5.6042
_cell_length_b 5.6042
_cell_length_c 8.7620
_cell_angle_alpha 90.00
_cell_angle_beta 90.00
_cell_angle_gamma 120.00
loop_
_atom_site_label
_atom_site_type_symbol
_atom_site_fract_x
_atom_site_fract_y
_atom_site_fract_z
_atom_site_occupancy
Tb1 Tb 0.3333 0.6667 0.2500 1
Tb2 Tb 0.6667 0.3333 0.7500 1
Np1 Np 0.6667 0.3333 0.2500 1
Np2 Np 0.3333 0.6667 0.7500 1
V1 V 0.0000 0.0000 0.0000 1
V2 V 0.0000 0.0000 0.5000 1
O1 O 0.6908 0.6615 0.1249 1
O2 O 0.9707 0.3092 0.1249 1
O3 O 0.3092 0.9707 0.6249 1
O4 O 0.0293 0.6908 0.8751 1
O5 O 0.3385 0.3092 0.3751 1
O6 O 0.9707 0.6615 0.3751 1
O7 O 0.6615 0.9707 0.8751 1
O8 O 0.6908 0.0293 0.3751 1
O9 O 0.0293 0.3385 0.6249 1
O10 O 0.3385 0.0293 0.1249 1
O11 O 0.6615 0.6908 0.6249 1
O12 O 0.3092 0.3385 0.8751 1
# Crystal system ... trigonal
# Energy ... -157.00 eV/cell
# M_tot ... 6.00 μB/cell